# Nd6HPd2 (GGA-PBE, relaxed)
data_Nd6HPd2
_space_group_name_H-M_alt 'P 1'
_space_group_IT_number 1
_space_group_name_Hall 'P 1'
_cell_length_a 6.638
_cell_length_b 7.222
_cell_length_c 12.112
_cell_angle_alpha 90.00
_cell_angle_beta 122.84
_cell_angle_gamma 90.00
loop_
_atom_site_label
_atom_site_fract_x
_atom_site_fract_y
_atom_site_fract_z
Nd1 0.107 0.026 0.252
Nd2 0.107 0.474 0.752
Nd3 0.225 0.678 0.059
Nd4 0.225 0.822 0.559
Nd5 0.392 0.180 0.061
Nd6 0.392 0.320 0.561
Nd7 0.608 0.680 0.439
Nd8 0.608 0.820 0.939
Nd9 0.775 0.178 0.441
Nd10 0.775 0.322 0.941
Nd11 0.893 0.526 0.248
Nd12 0.893 0.974 0.748
H1 0.500 0.000 0.500
H2 0.500 0.500 0.000
Pd1 0.328 0.116 0.753
Pd2 0.328 0.384 0.253
Pd3 0.672 0.616 0.747
Pd4 0.672 0.884 0.247
# **DFT total energy**: -5.14 eV per atom
# **SG**: P2_1/c, No. 14
# **Magnetization**: 0.00 μB per formula unit